{"formula": "Ce2PaBr", "functional": "PBE-GGA", "state": "optimized geometry", "m_tot_mub_per_fu": 0.001, "space_group": "No. 166", "dos_ef_per_ev_atom": 1.86, "raw_formation_energy_kj_per_mol_atoms": -18.7, "cell": [[1.953, 1.128, 7.893], [-1.953, 1.128, 7.893], [0.000, -2.255, 7.893]], "species": ["Ce", "Ce", "Pa", "Br"], "fractional_positions": [[0.234, 0.234, 0.234], [0.766, 0.766, 0.766], [0.500, 0.500, 0.500], [0.000, 0.000, 0.000]]}

{"formula": "Ce3PbBr3", "functional": "PBE-GGA", "state": "optimized geometry", "m_tot_mub_per_fu": 4.047, "space_group": "No. 148", "dos_ef_per_ev_atom": 2.81, "raw_formation_energy_kj_per_mol_atoms": -102.6, "cell": [[3.720, 2.148, 10.705], [-3.720, 2.148, 10.705], [0.000, -4.296, 10.705]], "species": ["Ce", "Ce", "Ce", "Ce", "Ce", "Ce", "Pb", "Pb", "Br", "Br", "Br", "Br", "Br", "Br"], "fractional_positions": [[0.058, 0.367, 0.748], [0.252, 0.942, 0.633], [0.367, 0.748, 0.058], [0.633, 0.252, 0.942], [0.748, 0.058, 0.367], [0.942, 0.633, 0.252], [0.333, 0.333, 0.333], [0.667, 0.667, 0.667], [0.112, 0.760, 0.465], [0.240, 0.535, 0.888], [0.465, 0.112, 0.760], [0.535, 0.888, 0.240], [0.760, 0.465, 0.112], [0.888, 0.240, 0.535]]}

{"formula": "CePbBr5", "functional": "PBE-GGA", "state": "optimized geometry", "m_tot_mub_per_fu": 1.000, "space_group": "No. 15", "dos_ef_per_ev_atom": 1.05, "raw_formation_energy_kj_per_mol_atoms": -132.2, "cell": [[5.690, -5.234, 0.000], [5.690, 5.234, 0.000], [-5.104, 0.000, 10.213]], "species": ["Ce", "Ce", "Pb", "Pb", "Br", "Br", "Br", "Br", "Br", "Br", "Br", "Br", "Br", "Br"], "fractional_positions": [[0.000, 0.500, 0.000], [0.500, 0.000, 0.500], [0.084, 0.916, 0.750], [0.916, 0.084, 0.250], [0.186, 0.611, 0.851], [0.204, 0.252, 0.513], [0.232, 0.768, 0.250], [0.252, 0.204, 0.013], [0.389, 0.814, 0.649], [0.611, 0.186, 0.351], [0.748, 0.796, 0.987], [0.768, 0.232, 0.750], [0.796, 0.748, 0.487], [0.814, 0.389, 0.149]]}